Record 1
A geometry-optimized YB2Ir structure, computed with GGA-PBE.

Output
raw total energy	-6.20	eV/atom
magnetization	0.0	μB/cell
space group	F-43m

Cell lengths 6.1128, 6.1128, 6.1128 Å; angles 90.00, 90.00, 90.00 degrees
Positions (direct):
Y1 0.0000 0.0000 0.0000
Y2 0.0000 0.5000 0.5000
Y3 0.5000 0.0000 0.5000
Y4 0.5000 0.5000 0.0000
B1 0.0000 0.0000 0.5000
B2 0.0000 0.5000 0.0000
B3 0.2500 0.2500 0.2500
B4 0.2500 0.7500 0.7500
B5 0.5000 0.0000 0.0000
B6 0.5000 0.5000 0.5000
B7 0.7500 0.2500 0.7500
B8 0.7500 0.7500 0.2500
Ir1 0.2500 0.2500 0.7500
Ir2 0.2500 0.7500 0.2500
Ir3 0.7500 0.2500 0.2500
Ir4 0.7500 0.7500 0.7500

=====

Record 2
A geometry-optimized Y2BIr structure, computed with GGA-PBE.

Output
raw total energy	-6.96	eV/atom
magnetization	0.0	μB/cell
space group	F-43m

Cell lengths 6.5318, 6.5318, 6.5318 Å; angles 90.00, 90.00, 90.00 degrees
Positions (direct):
Y1 0.0000 0.0000 0.0000
Y2 0.0000 0.5000 0.5000
Y3 0.2500 0.2500 0.2500
Y4 0.2500 0.7500 0.7500
Y5 0.5000 0.0000 0.5000
Y6 0.5000 0.5000 0.0000
Y7 0.7500 0.2500 0.7500
Y8 0.7500 0.7500 0.2500
B1 0.0000 0.0000 0.5000
B2 0.0000 0.5000 0.0000
B3 0.5000 0.0000 0.0000
B4 0.5000 0.5000 0.5000
Ir1 0.2500 0.2500 0.7500
Ir2 0.2500 0.7500 0.2500
Ir3 0.7500 0.2500 0.2500
Ir4 0.7500 0.7500 0.7500

=====

Record 3
A geometry-optimized Y2B6Ir9 structure, computed with GGA-PBE.

Output
raw total energy	-8.38	eV/atom
magnetization	0.0	μB/cell
space group	P6/mmm

Cell lengths 5.6515, 5.6515, 8.6311 Å; angles 90.00, 90.00, 120.00 degrees
Positions (direct):
Y1 0.0000 0.0000 0.2029
Y2 0.0000 0.0000 0.7971
B1 0.3333 0.6667 0.1676
B2 0.3333 0.6667 0.5000
B3 0.3333 0.6667 0.8324
B4 0.6667 0.3333 0.1676
B5 0.6667 0.3333 0.5000
B6 0.6667 0.3333 0.8324
Ir1 0.0000 0.5000 0.0000
Ir2 0.0000 0.5000 0.3359
Ir3 0.0000 0.5000 0.6641
Ir4 0.5000 0.0000 0.0000
Ir5 0.5000 0.0000 0.3359
Ir6 0.5000 0.0000 0.6641
Ir7 0.5000 0.5000 0.0000
Ir8 0.5000 0.5000 0.3359
Ir9 0.5000 0.5000 0.6641